Below is an optimized crystal structure of Tb5TlRh, with properties calculated at the GGA-PBE level.

Cell and atoms, written as CIF:
```
data_Tb5TlRh
_chemical_formula_sum 'Tb10 Tl2 Rh2'
_cell_length_a 5.983
_cell_length_b 5.983
_cell_length_c 11.839
_cell_angle_alpha 77.78
_cell_angle_beta 77.78
_cell_angle_gamma 78.05
_space_group_name_H-M_alt 'P 1'
_space_group_IT_number 1
loop_
_space_group_symop_operation_xyz
'x,y,z'
loop_
_atom_site_label
_atom_site_type_symbol
_atom_site_fract_x
_atom_site_fract_y
_atom_site_fract_z
Tb1 Tb 0.000 0.000 0.750
Tb2 Tb 0.419 0.080 0.376
Tb3 Tb 0.457 0.786 0.939
Tb4 Tb 0.543 0.214 0.061
Tb5 Tb 0.786 0.457 0.439
Tb6 Tb 0.000 0.000 0.250
Tb7 Tb 0.581 0.920 0.624
Tb8 Tb 0.214 0.543 0.561
Tb9 Tb 0.080 0.419 0.876
Tb10 Tb 0.920 0.581 0.124
Tl1 Tl 0.408 0.592 0.250
Tl2 Tl 0.592 0.408 0.750
Rh1 Rh 0.000 0.000 0.500
Rh2 Rh 0.000 0.000 0.000
```

***

Below is an optimized crystal structure of Tb2TlRh3, with properties calculated at the GGA-PBE level.

Cell and atoms, written as CIF:
```
data_Tb2TlRh3
_chemical_formula_sum 'Tb4 Tl2 Rh6'
_cell_length_a 4.786
_cell_length_b 4.786
_cell_length_c 11.722
_cell_angle_alpha 90.00
_cell_angle_beta 90.00
_cell_angle_gamma 120.00
_space_group_name_H-M_alt 'P 1'
_space_group_IT_number 1
loop_
_space_group_symop_operation_xyz
'x,y,z'
loop_
_atom_site_label
_atom_site_type_symbol
_atom_site_fract_x
_atom_site_fract_y
_atom_site_fract_z
Rh1 Rh 0.333 0.667 0.422
Rh2 Rh 0.333 0.667 0.918
Rh3 Rh 0.000 0.000 0.248
Rh4 Rh 0.667 0.333 0.578
Rh5 Rh 0.667 0.333 0.082
Rh6 Rh 0.000 0.000 0.752
Tb1 Tb 0.000 0.000 0.500
Tb2 Tb 0.333 0.667 0.179
Tb3 Tb 0.000 0.000 0.000
Tb4 Tb 0.667 0.333 0.821
Tl1 Tl 0.333 0.667 0.666
Tl2 Tl 0.667 0.333 0.334
```

***

Below is an optimized crystal structure of Tb11Tl9Rh4, with properties calculated at the GGA-PBE level.

Cell and atoms, written as CIF:
```
data_Tb11Tl9Rh4
_chemical_formula_sum 'Tb11 Tl9 Rh4'
_cell_length_a 3.721
_cell_length_b 13.259
_cell_length_c 13.259
_cell_angle_alpha 112.47
_cell_angle_beta 90.00
_cell_angle_gamma 90.00
_space_group_name_H-M_alt 'P 1'
_space_group_IT_number 1
loop_
_space_group_symop_operation_xyz
'x,y,z'
loop_
_atom_site_label
_atom_site_type_symbol
_atom_site_fract_x
_atom_site_fract_y
_atom_site_fract_z
Tb1 Tb 0.000 0.837 0.163
Tb2 Tb 0.000 0.163 0.837
Tb3 Tb 0.000 0.312 0.312
Tb4 Tb 0.000 0.374 0.626
Tb5 Tb 0.000 0.583 0.918
Tb6 Tb 0.000 0.417 0.082
Tb7 Tb 0.000 0.688 0.688
Tb8 Tb 0.000 0.626 0.374
Tb9 Tb 0.000 0.918 0.583
Tb10 Tb 0.000 0.000 0.000
Tb11 Tb 0.000 0.082 0.417
Rh1 Rh 0.500 0.248 0.450
Rh2 Rh 0.500 0.450 0.248
Rh3 Rh 0.500 0.550 0.752
Rh4 Rh 0.500 0.752 0.550
Tl1 Tl 0.500 0.631 0.153
Tl2 Tl 0.500 0.500 0.500
Tl3 Tl 0.500 0.369 0.847
Tl4 Tl 0.500 0.783 0.929
Tl5 Tl 0.500 0.071 0.217
Tl6 Tl 0.500 0.847 0.369
Tl7 Tl 0.500 0.153 0.631
Tl8 Tl 0.500 0.217 0.071
Tl9 Tl 0.500 0.929 0.783
```

***

Below is an optimized crystal structure of TbTlRh, with properties calculated at the GGA-PBE level.

Cell and atoms, written as CIF:
```
data_TbTlRh
_chemical_formula_sum 'Tb2 Tl2 Rh2'
_cell_length_a 7.456
_cell_length_b 4.292
_cell_length_c 4.292
_cell_angle_alpha 90.00
_cell_angle_beta 90.00
_cell_angle_gamma 90.00
_space_group_name_H-M_alt 'P 1'
_space_group_IT_number 1
loop_
_space_group_symop_operation_xyz
'x,y,z'
loop_
_atom_site_label
_atom_site_type_symbol
_atom_site_fract_x
_atom_site_fract_y
_atom_site_fract_z
Tl1 Tl 0.500 0.000 0.000
Tl2 Tl 0.500 0.500 0.500
Rh1 Rh 0.227 0.000 0.500
Rh2 Rh 0.773 0.500 0.000
Tb1 Tb 0.140 0.500 0.000
Tb2 Tb 0.860 0.000 0.500
```

***

Listing ΔH_f (0 K) for the structures above in their given order: -251 -637 -558 -396 meV per atom.
Listing magnetization for the structures above in their given order: 0.00 0.00 0.00 0.00 μB per cell.